Material: Ba2GePd2
Method: DFT, PBE
State: optimized geometry

Calculated values
Space-group type: I4/mmm (139)
E_form in eV per atom: -0.399
Calculated total energy in eV/atom: -4.17
Spin magnetization in Bohr magnetons per cell: 0.693

Cell: 6.2614 6.2614 5.8762 Å, 57.81 57.81 90.00°
Fractional coordinates of all 5 atoms:
Ba1 0.7500 0.2500 0.5000
Ba2 0.2500 0.7500 0.5000
Pd1 0.3227 0.3227 0.3546
Pd2 0.6773 0.6773 0.6454
Ge1 0.0000 0.0000 0.0000